Record 1
Entry from Alexandria: crystalline La2TeAu at its relaxed geometry (PBE-GGA).

Lattice parameters (Å, degrees): 4.4934 4.4916 6.4532 90.00 90.00 90.00
With the nearest neighbours (Å) after each atom.
Fractional positions:
Au1 0.5000 0.5000 0.8744  6 La 3.18-3.23
La1 0.0000 0.0000 0.8754  4 Au 3.18, 2 Te 3.23
La2 0.5000 0.5000 0.3748  4 Te 3.18, 2 Au 3.22-3.23
Te1 0.0000 0.0000 0.3754  6 La 3.18-3.23

Calculated values
E_form (uncorrected) = -1.107 eV/atom
Magnetization = 0.00 μB/cell
DFT total energy = -5.176 eV per atom
Symmetry = P4mm
Crystal system = tetragonal



Record 2
Entry from Alexandria: crystalline La2TeAu at its relaxed geometry (PBE-GGA).

Lattice parameters (Å, degrees): 5.2265 5.5810 3.9366 90.00 90.00 90.00
With the nearest neighbours (Å) after each atom.
Fractional positions:
Au1 0.0000 0.5000 0.5000  8 La 3.27-3.41
La1 0.0000 0.0000 0.0000  4 Te 3.27, 4 Au 3.41
La2 0.5000 0.5000 0.0000  4 Au 3.27, 4 Te 3.41
Te1 0.5000 0.0000 0.5000  8 La 3.27-3.41

Calculated values
E_form (uncorrected) = -1.053 eV/atom
Magnetization = 0.00 μB/cell
DFT total energy = -5.122 eV per atom
Symmetry = Pmmm
Crystal system = orthorhombic



Record 3
Entry from Alexandria: crystalline LaTe2Au at its relaxed geometry (PBE-GGA).

Lattice parameters (Å, degrees): 9.7878 9.7878 9.7878 23.96 23.96 23.96
With the nearest neighbours (Å) after each atom.
Fractional positions:
Te1 0.8896 0.8896 0.8896  3 Au 2.84, 1 La 3.15
Te2 0.1104 0.1104 0.1104  3 Au 2.84, 1 La 3.15
Au1 0.5000 0.5000 0.5000  6 Te 2.84
La1 0.0000 0.0000 0.0000  2 Te 3.15

Calculated values
E_form (uncorrected) = -0.105 eV/atom
Magnetization = 0.00 μB/cell
DFT total energy = -3.727 eV per atom
Symmetry = R-3m
Crystal system = trigonal



Record 4
Entry from Alexandria: crystalline LaTe2Au at its relaxed geometry (PBE-GGA).

Lattice parameters (Å, degrees): 4.5992 4.2281 6.8207 69.56 90.00 90.00
With the nearest neighbours (Å) after each atom.
Fractional positions:
Te1 0.0000 0.0967 0.9382  1 Au 2.71
Te2 0.5000 0.3699 0.3041  2 Au 2.68
Au1 0.0000 0.3365 0.5135  3 Te 2.68-2.71
La1 0.5000 0.6969 0.7443  7 Te 3.34-3.72, 4 Au 3.43-3.48

Calculated values
E_form (uncorrected) = -0.969 eV/atom
Magnetization = 0.00 μB/cell
DFT total energy = -4.591 eV per atom
Symmetry = Pm
Crystal system = monoclinic



Record 5
Entry from Alexandria: crystalline LaTe2Au at its relaxed geometry (PBE-GGA).

Lattice parameters (Å, degrees): 6.5395 6.5395 8.6806 67.87 67.87 90.00
With the nearest neighbours (Å) after each atom.
Fractional positions:
Te1 0.6655 0.1250 0.2500  2 Au 2.81, 2 La 3.11
Te2 0.0845 0.6250 0.2500  2 Au 2.81, 2 La 3.11
Te3 0.3750 0.3345 0.7500  2 Au 2.81, 2 La 3.11
Te4 0.8750 0.9155 0.7500  2 Au 2.81, 2 La 3.11
Au1 0.0000 0.0000 0.0000  4 Te 2.81
Au2 0.7500 0.2500 0.5000  4 Te 2.81
La1 0.5000 0.5000 0.0000  4 Te 3.11
La2 0.2500 0.7500 0.5000  4 Te 3.11

Calculated values
E_form (uncorrected) = -0.737 eV/atom
Magnetization = 0.00 μB/cell
DFT total energy = -4.359 eV per atom
Symmetry = I-42d
Crystal system = tetragonal



Record 6
Entry from Alexandria: crystalline LaTeAu3 at its relaxed geometry (PBE-GGA).

Lattice parameters (Å, degrees): 5.5969 5.5969 5.5969 90.00 90.00 90.00
With the nearest neighbours (Å) after each atom.
Fractional positions:
Te1 0.5000 0.5000 0.5000  12 Au 3.96
Au1 0.0000 0.5000 0.0000  2 La 2.80
Au2 0.0000 0.0000 0.5000  2 La 2.80
Au3 0.5000 0.0000 0.0000  2 La 2.80
La1 0.0000 0.0000 0.0000  6 Au 2.80

Calculated values
E_form (uncorrected) = 0.473 eV/atom
Magnetization = 0.00 μB/cell
DFT total energy = -3.107 eV per atom
ΔE to the lowest computed polymorph = 475.8 meV/atom
Symmetry = Pm-3m
Crystal system = cubic



Record 7
Entry from Alexandria: crystalline La2Te4Au at its relaxed geometry (PBE-GGA).

Lattice parameters (Å, degrees): 7.9216 6.3521 9.0840 90.00 106.49 90.00
With the nearest neighbours (Å) after each atom.
Fractional positions:
La1 0.7773 0.7500 0.0678  1 Au 3.25, 8 Te 3.37-3.50
La2 0.2227 0.2500 0.9322  1 Au 3.25, 8 Te 3.37-3.50
La3 0.2553 0.2500 0.4371  8 Te 3.22-3.45
La4 0.7447 0.7500 0.5629  8 Te 3.22-3.45
Te1 0.5169 0.4935 0.2483  1 Au 2.87, 1 Te 3.09
Te2 0.0759 0.7500 0.8667  1 Au 2.68
Te3 0.9241 0.2500 0.1333  1 Au 2.68
Te4 0.5169 0.0065 0.2483  1 Au 2.87, 1 Te 3.09
Te5 0.9193 0.2500 0.5809  1 Au 2.68
Te6 0.4831 0.9935 0.7517  1 Au 2.87, 1 Te 3.09
Te7 0.4831 0.5065 0.7517  1 Au 2.87, 1 Te 3.09
Te8 0.0807 0.7500 0.4191  1 Au 2.68
Au1 0.2053 0.7500 0.1735  4 Te 2.68-2.87
Au2 0.7947 0.2500 0.8265  4 Te 2.68-2.87

Calculated values
E_form (uncorrected) = -1.136 eV/atom
Magnetization = 0.00 μB/cell
DFT total energy = -4.807 eV per atom
ΔE to the lowest computed polymorph = 0.0 meV/atom
Symmetry = P2_1/m
Crystal system = monoclinic



Record 8
Entry from Alexandria: crystalline LaTe2Au at its relaxed geometry (PBE-GGA).

Lattice parameters (Å, degrees): 8.2981 5.0876 4.1384 90.13 59.90 127.70
With the nearest neighbours (Å) after each atom.
Fractional positions:
Au1 0.0000 0.5000 0.5000  8 Te 3.28, 4 La 3.59-3.61
La1 0.5000 0.5000 0.0000  8 Te 3.28, 4 Au 3.59-3.61
Te1 0.0000 0.0000 0.0000  4 La 3.28, 4 Au 3.28, 4 Te 3.59-3.61
Te2 0.5000 0.0000 0.5000  4 Au 3.28, 4 La 3.28, 4 Te 3.59-3.61

Calculated values
E_form (uncorrected) = -0.841 eV/atom
Magnetization = 0.00 μB/cell
DFT total energy = -4.463 eV per atom
Symmetry = C2/m
Crystal system = monoclinic



Record 9
Entry from Alexandria: crystalline La2TeAu at its relaxed geometry (PBE-GGA).

Lattice parameters (Å, degrees): 4.8029 4.2343 12.4418 99.80 90.00 90.00
With the nearest neighbours (Å) after each atom.
Fractional positions:
La1 0.7500 0.6768 0.3536  5 Te 3.22-3.24, 1 Au 3.30
La2 0.2500 0.3232 0.6464  5 Te 3.22-3.24, 1 Au 3.30
La3 0.7500 0.9402 0.8804  1 Te 3.22, 6 Au 3.23-3.28
La4 0.2500 0.0598 0.1196  1 Te 3.22, 6 Au 3.23-3.28
Te1 0.2500 0.1911 0.3822  6 La 3.22-3.24
Te2 0.7500 0.8089 0.6178  6 La 3.22-3.24
Au1 0.2500 0.4576 0.9152  2 Au 3.18, 7 La 3.23-3.30
Au2 0.7500 0.5424 0.0848  2 Au 3.18, 7 La 3.23-3.30

Calculated values
E_form (uncorrected) = -1.156 eV/atom
Magnetization = 0.00 μB/cell
DFT total energy = -5.225 eV per atom
Symmetry = Cmcm
Crystal system = orthorhombic



Record 10
Entry from Alexandria: crystalline LaTe2Au at its relaxed geometry (PBE-GGA).

Lattice parameters (Å, degrees): 5.4155 5.4155 5.4155 60.00 60.00 60.00
With the nearest neighbours (Å) after each atom.
Fractional positions:
Te1 0.2500 0.2500 0.2500  4 Au 3.32, 4 La 3.32
Te2 0.7500 0.7500 0.7500  4 La 3.32, 4 Au 3.32
Au1 0.5000 0.5000 0.5000  8 Te 3.32
La1 0.0000 0.0000 0.0000  8 Te 3.32

Calculated values
E_form (uncorrected) = -0.707 eV/atom
Magnetization = 0.00 μB/cell
DFT total energy = -4.329 eV per atom
Symmetry = Fm-3m
Crystal system = cubic



Record 11
Entry from Alexandria: crystalline LaTe2Au at its relaxed geometry (PBE-GGA).

Lattice parameters (Å, degrees): 4.3056 4.3060 6.5141 90.00 90.00 90.00
With the nearest neighbours (Å) after each atom.
Fractional positions:
Au1 0.0000 0.0000 0.4839  1 Te 2.83
La1 0.5000 0.5000 0.7790  5 Te 3.00-3.18
Te1 0.0000 0.0000 0.9186  1 Au 2.83
Te2 0.5000 0.5000 0.3184  1 La 3.00, 4 Au 3.23

Calculated values
E_form (uncorrected) = -0.868 eV/atom
Magnetization = 0.00 μB/cell
DFT total energy = -4.490 eV per atom
Symmetry = P4mm
Crystal system = tetragonal



Record 12
Entry from Alexandria: crystalline La3Te2Au at its relaxed geometry (PBE-GGA).

Lattice parameters (Å, degrees): 7.7713 7.7713 7.9953 99.38 99.38 119.98
With the nearest neighbours (Å) after each atom.
Fractional positions:
La1 0.5991 0.9324 0.7644  2 Au 3.13, 4 Te 3.21-3.24
La2 0.0676 0.4009 0.2356  2 Au 3.13, 4 Te 3.21-3.24
La3 0.9090 0.5854 0.7593  2 Au 3.12-3.13, 4 Te 3.23-3.29
La4 0.2521 0.2423 0.7593  2 Au 3.12-3.13, 4 Te 3.23-3.29
La5 0.4146 0.0910 0.2407  2 Au 3.12-3.13, 4 Te 3.23-3.29
La6 0.7577 0.7479 0.2407  2 Au 3.12-3.13, 4 Te 3.23-3.29
Te1 0.8333 0.1667 0.5000  6 La 3.21-3.28
Te2 0.3333 0.6667 0.0000  6 La 3.22-3.23
Te3 0.1739 0.8261 0.5000  6 La 3.24-3.29
Te4 0.4928 0.5072 0.5000  6 La 3.24-3.29
Au1 0.0021 0.9979 0.0000  6 La 3.12-3.13
Au2 0.6646 0.3354 0.0000  6 La 3.12-3.13

Calculated values
E_form (uncorrected) = -1.300 eV/atom
Magnetization = 0.00 μB/cell
DFT total energy = -5.357 eV per atom
Symmetry = C2/m
Crystal system = monoclinic